w:
DFT (PBE) results for crystalline Ta2HPd at its relaxed geometry.

Properties
N(E_F), states/eV/cell: 6.89

Cell: 2.9287 2.9287 21.6073 Å, 90.00 90.00 120.00°
Last column: nearest neighbours and their distance in Å.
Space group R3m (No. 160, hexagonal axes)
Symmetry-distinct sites (fractional):
1 Ta 0.0000 0.0000 0.0000 (multiplicity 3)  3 H 2.16
2 Ta 0.0000 0.0000 0.2101 (multiplicity 3)  3 H 2.15
3 H 0.0000 0.0000 0.6046 (multiplicity 3)  6 Ta 2.15-2.16
4 Pd 0.0000 0.0000 0.7723 (multiplicity 3)  6 Ta 2.82-2.84, 6 Pd 2.93

***

x:
DFT (PBE) results for crystalline Ta2HPd at its relaxed geometry.

Properties
N(E_F), states/eV/cell: 9.91

Cell: 2.8886 2.8886 23.6505 Å, 90.00 90.00 120.00°
Last column: nearest neighbours and their distance in Å.
Space group R-3m (No. 166, hexagonal axes)
Symmetry-distinct sites (fractional):
1 Ta 0.0000 0.0000 0.1095 (multiplicity 6)  3 H 2.15
2 H 0.0000 0.0000 0.5000 (multiplicity 3)  6 Ta 2.15
3 Pd 0.0000 0.0000 0.0000 (multiplicity 3)  2 Ta 2.59, 6 Pd 2.89

***

Energy ordering: w at the bottom, the next structure 0.352 eV/atom above.

***

w:
DFT (PBE) results for crystalline Ta2HPd at its relaxed geometry.

Properties
N(E_F), states/eV/cell: 19.23

Cell: 6.1945 6.1945 6.1945 Å, 90.00 90.00 90.00°
Last column: nearest neighbours and their distance in Å.
Space group Fm-3m (No. 225)
Symmetry-distinct sites (fractional):
1 Ta 0.2500 0.2500 0.2500 (multiplicity 8)  4 H 2.68, 4 Pd 2.68
2 H 0.0000 0.0000 0.0000 (multiplicity 4)  8 Ta 2.68
3 Pd 0.0000 0.0000 0.5000 (multiplicity 4)  8 Ta 2.68

***

x:
DFT (PBE) results for crystalline Ta2HPd at its relaxed geometry.

Properties
N(E_F), states/eV/cell: 16.28

Cell: 6.3905 6.3905 5.4649 Å, 90.00 90.00 90.00°
Last column: nearest neighbours and their distance in Å.
Space group I-42d (No. 122)
Symmetry-distinct sites (fractional):
1 Ta 0.1555 0.2500 0.1250 (multiplicity 8)  2 H 2.00
2 H 0.0000 0.0000 0.0000 (multiplicity 4)  4 Ta 2.00
3 Pd 0.0000 0.0000 0.5000 (multiplicity 4)  2 H 2.73, 8 Ta 2.78-2.80

***

Energy ordering: x at the bottom, the next structure 0.388 eV/atom above.

***

w:
DFT (PBE) results for crystalline Ta2HPdW at its relaxed geometry.

Properties
N(E_F), states/eV/cell: 3.31

Cell: 4.4017 4.4017 3.6030 Å, 90.00 90.00 90.00°
Last column: nearest neighbours and their distance in Å.
Space group P4/mmm (No. 123)
Symmetry-distinct sites (fractional):
1 Ta 0.0000 0.5000 0.0000 (multiplicity 2)  2 H 2.20
2 H 0.0000 0.0000 0.0000 (multiplicity 1)  2 Pd 1.80
3 Pd 0.0000 0.0000 0.5000 (multiplicity 1)  2 H 1.80
4 W 0.5000 0.5000 0.5000 (multiplicity 1)  8 Ta 2.84, 4 Pd 3.11

***

x:
DFT (PBE) results for crystalline Ta2HPdW at its relaxed geometry.

Properties
N(E_F), states/eV/cell: 3.42

Cell: 4.2818 4.2818 3.8024 Å, 90.00 90.00 90.00°
Last column: nearest neighbours and their distance in Å.
Space group P4/mmm (No. 123)
Symmetry-distinct sites (fractional):
1 Ta 0.0000 0.5000 0.0000 (multiplicity 2)  2 H 2.14
2 H 0.0000 0.0000 0.0000 (multiplicity 1)  2 W 1.90
3 Pd 0.5000 0.5000 0.5000 (multiplicity 1)  8 Ta 2.86, 4 W 3.03
4 W 0.0000 0.0000 0.5000 (multiplicity 1)  2 H 1.90

***

Energy ordering: w at the bottom, the next structure 0.018 eV/atom above.

***

w:
DFT (PBE) results for crystalline Tb2HPd at its relaxed geometry.

Properties
N(E_F), states/eV/cell: 8.98

Cell: 3.3751 3.3751 24.4699 Å, 90.00 90.00 120.00°
Last column: nearest neighbours and their distance in Å.
Space group R-3m (No. 166, hexagonal axes)
Symmetry-distinct sites (fractional):
1 Tb 0.0000 0.0000 0.1080 (multiplicity 6)  3 H 2.42, 1 Pd 2.64
2 H 0.0000 0.0000 0.5000 (multiplicity 3)  6 Tb 2.42
3 Pd 0.0000 0.0000 0.0000 (multiplicity 3)  2 Tb 2.64

***

x:
DFT (PBE) results for crystalline Tb2HPd at its relaxed geometry.

Properties
N(E_F), states/eV/cell: 7.08

Cell: 13.7414 3.7394 6.8221 Å, 90.00 112.04 90.00°
Last column: nearest neighbours and their distance in Å.
Space group C2/m (No. 12)
Symmetry-distinct sites (fractional):
1 Tb 0.0189 0.0000 0.2693 (multiplicity 4)  2 H 2.21-2.26
2 Tb 0.2071 0.5000 0.7293 (multiplicity 4)  2 H 2.24
3 H 0.1143 0.0000 0.6117 (multiplicity 4)  4 Tb 2.21-2.26
4 Pd 0.1178 0.5000 0.0734 (multiplicity 4)  7 Tb 2.91-3.03, 1 Pd 3.01

***

Energy ordering: x at the bottom, the next structure 0.596 eV/atom above.

***

w:
DFT (PBE) results for crystalline TbH2Pd at its relaxed geometry.

Properties
N(E_F), states/eV/cell: 5.46

Cell: 7.1395 4.6851 6.0356 Å, 90.00 90.00 90.00°
Last column: nearest neighbours and their distance in Å.
Space group Pnma (No. 62)
Symmetry-distinct sites (fractional):
1 Tb 0.1763 0.2500 0.1472 (multiplicity 4)  6 H 2.26-2.28
2 H 0.1020 0.5158 0.8432 (multiplicity 8)  1 Pd 1.80
3 Pd 0.0447 0.2500 0.6391 (multiplicity 4)  2 H 1.80

***

x:
DFT (PBE) results for crystalline TbH2Pd at its relaxed geometry.

Properties
N(E_F), states/eV/cell: 3.72

Cell: 3.9770 3.9770 11.9990 Å, 90.00 90.00 120.00°
Last column: nearest neighbours and their distance in Å.
Space group R-3m (No. 166, hexagonal axes)
Symmetry-distinct sites (fractional):
1 Tb 0.0000 0.0000 0.0000 (multiplicity 3)  6 H 2.32
2 H 0.0000 0.0000 0.3586 (multiplicity 6)  1 Pd 1.70
3 Pd 0.0000 0.0000 0.5000 (multiplicity 3)  2 H 1.70

***

Energy ordering: w at the bottom, the next structure 0.064 eV/atom above.

***

w:
DFT (PBE) results for crystalline TcH2Pd at its relaxed geometry.

Properties
N(E_F), states/eV/cell: 14.41

Cell: 4.2312 4.2312 8.2437 Å, 90.00 90.00 90.00°
Last column: nearest neighbours and their distance in Å.
Space group I-42d (No. 122)
Symmetry-distinct sites (fractional):
1 Tc 0.0000 0.0000 0.0000 (multiplicity 4)  4 H 1.81
2 H 0.2486 0.2500 0.1250 (multiplicity 8)  2 Tc 1.81, 2 Pd 1.82
3 Pd 0.0000 0.0000 0.5000 (multiplicity 4)  4 H 1.82

***

x:
DFT (PBE) results for crystalline TcH2Pd at its relaxed geometry.

Properties
N(E_F), states/eV/cell: 8.19

Cell: 5.3323 5.3323 5.3323 Å, 90.00 90.00 90.00°
Last column: nearest neighbours and their distance in Å.
Space group Fm-3m (No. 225)
Symmetry-distinct sites (fractional):
1 Tc 0.0000 0.0000 0.0000 (multiplicity 4)  8 H 2.31
2 H 0.2500 0.2500 0.2500 (multiplicity 8)  4 Tc 2.31, 4 Pd 2.31
3 Pd 0.0000 0.0000 0.5000 (multiplicity 4)  8 H 2.31

***

y:
DFT (PBE) results for crystalline TcH2Pd at its relaxed geometry.

Properties
N(E_F), states/eV/cell: 4.63

Cell: 2.8654 2.8654 15.0973 Å, 90.00 90.00 120.00°
Last column: nearest neighbours and their distance in Å.
Space group R3m (No. 160, hexagonal axes)
Symmetry-distinct sites (fractional):
1 Tc 0.0000 0.0000 0.0000 (multiplicity 3)  6 H 1.88-1.90
2 H 0.0000 0.0000 0.3931 (multiplicity 3)  3 Tc 1.88
3 H 0.0000 0.0000 0.6047 (multiplicity 3)  3 Tc 1.90
4 Pd 0.0000 0.0000 0.8234 (multiplicity 3)  6 H 2.21-2.39

***

Energy ordering: y at the bottom, the next structure 0.099 eV/atom above.